The following is a DFT calculation (PBE-GGA) of crystalline NpCu2F11 at its relaxed geometry.

Computed properties:
The space group is Cmmm (65). The value obtained for the total energy is -71.424 eV/cell. Its formation energy without anion corrections is -2.122 eV per atom.

Structure (CIF):
```
data_NpCu2F11
_symmetry_space_group_name_H-M 'P 1'
_symmetry_Int_Tables_number 1
_cell_length_a 5.6940
_cell_length_b 5.6940
_cell_length_c 6.1956
_cell_angle_alpha 90.00
_cell_angle_beta 90.00
_cell_angle_gamma 97.33
loop_
_symmetry_equiv_pos_as_xyz
'x,y,z'
loop_
_atom_site_label
_atom_site_type_symbol
_atom_site_fract_x
_atom_site_fract_y
_atom_site_fract_z
Np1 Np 0.0000 0.0000 0.0000
Cu1 Cu 0.2745 0.7255 0.5000
Cu2 Cu 0.7255 0.2745 0.5000
F1 F 0.0000 0.5000 0.5000
F2 F 0.2075 0.2075 0.2014
F3 F 0.2075 0.2075 0.7986
F4 F 0.2284 0.7716 0.1940
F5 F 0.2284 0.7716 0.8060
F6 F 0.5000 0.0000 0.5000
F7 F 0.5000 0.5000 0.5000
F8 F 0.7716 0.2284 0.1940
F9 F 0.7716 0.2284 0.8060
F10 F 0.7925 0.7925 0.2014
F11 F 0.7925 0.7925 0.7986
```


The following is a DFT calculation (PBE-GGA) of crystalline NpCu2O6F at its relaxed geometry.

Computed properties:
The space group is C2/c (15). The value obtained for the total energy is -131.620 eV/cell. Its formation energy without anion corrections is -1.306 eV per atom.

Structure (CIF):
```
data_NpCu2O6F
_symmetry_space_group_name_H-M 'P 1'
_symmetry_Int_Tables_number 1
_cell_length_a 7.4352
_cell_length_b 7.4352
_cell_length_c 5.2905
_cell_angle_alpha 101.50
_cell_angle_beta 101.50
_cell_angle_gamma 79.26
loop_
_symmetry_equiv_pos_as_xyz
'x,y,z'
loop_
_atom_site_label
_atom_site_type_symbol
_atom_site_fract_x
_atom_site_fract_y
_atom_site_fract_z
Np1 Np 0.2453 0.7547 0.7500
Np2 Np 0.7547 0.2453 0.2500
Cu1 Cu 0.0156 0.2561 0.7876
Cu2 Cu 0.2561 0.0156 0.2876
Cu3 Cu 0.7439 0.9844 0.7124
Cu4 Cu 0.9844 0.7439 0.2124
O1 O 0.0654 0.1511 0.4517
O2 O 0.0989 0.6335 0.9252
O3 O 0.1511 0.0654 0.9517
O4 O 0.1646 0.5996 0.4087
O5 O 0.3665 0.9011 0.5748
O6 O 0.4004 0.8354 0.0913
O7 O 0.5996 0.1646 0.9087
O8 O 0.6335 0.0989 0.4252
O9 O 0.8354 0.4004 0.5913
O10 O 0.8489 0.9346 0.0483
O11 O 0.9011 0.3665 0.0748
O12 O 0.9346 0.8489 0.5483
F1 F 0.4623 0.5377 0.7500
F2 F 0.5377 0.4623 0.2500
```


The following is a DFT calculation (PBE-GGA) of crystalline NpTl2Cu3F12 at its relaxed geometry.

Computed properties:
The space group is R-3m (166). The value obtained for the total energy is -91.143 eV/cell. Its formation energy without anion corrections is -2.151 eV per atom.

Structure (CIF):
```
data_NpTl2Cu3F12
_symmetry_space_group_name_H-M 'P 1'
_symmetry_Int_Tables_number 1
_cell_length_a 8.4578
_cell_length_b 8.4578
_cell_length_c 8.4578
_cell_angle_alpha 50.46
_cell_angle_beta 50.46
_cell_angle_gamma 50.46
loop_
_symmetry_equiv_pos_as_xyz
'x,y,z'
loop_
_atom_site_label
_atom_site_type_symbol
_atom_site_fract_x
_atom_site_fract_y
_atom_site_fract_z
Np1 Np 0.0000 0.0000 0.0000
Tl1 Tl 0.4187 0.4187 0.4187
Tl2 Tl 0.5813 0.5813 0.5813
Cu1 Cu 0.0000 0.0000 0.5000
Cu2 Cu 0.0000 0.5000 0.0000
Cu3 Cu 0.5000 0.0000 0.0000
F1 F 0.0832 0.0832 0.6693
F2 F 0.0832 0.6693 0.0832
F3 F 0.0854 0.6809 0.6809
F4 F 0.3191 0.3191 0.9146
F5 F 0.3191 0.9146 0.3191
F6 F 0.3307 0.9168 0.9168
F7 F 0.6693 0.0832 0.0832
F8 F 0.6809 0.0854 0.6809
F9 F 0.6809 0.6809 0.0854
F10 F 0.9146 0.3191 0.3191
F11 F 0.9168 0.3307 0.9168
F12 F 0.9168 0.9168 0.3307
```


The following is a DFT calculation (PBE-GGA) of crystalline NpTlCu2F8 at its relaxed geometry.

Computed properties:
The space group is R-3 (148). The value obtained for the total energy is -65.597 eV/cell. Its formation energy without anion corrections is -2.261 eV per atom.

Structure (CIF):
```
data_NpTlCu2F8
_symmetry_space_group_name_H-M 'P 1'
_symmetry_Int_Tables_number 1
_cell_length_a 8.7505
_cell_length_b 8.7505
_cell_length_c 8.7505
_cell_angle_alpha 34.43
_cell_angle_beta 34.43
_cell_angle_gamma 34.43
loop_
_symmetry_equiv_pos_as_xyz
'x,y,z'
loop_
_atom_site_label
_atom_site_type_symbol
_atom_site_fract_x
_atom_site_fract_y
_atom_site_fract_z
Np1 Np 0.0000 0.0000 0.0000
Tl1 Tl 0.5000 0.5000 0.5000
Cu1 Cu 0.2290 0.2290 0.2290
Cu2 Cu 0.7710 0.7710 0.7710
F1 F 0.0270 0.7301 0.3964
F2 F 0.1535 0.1535 0.1535
F3 F 0.2699 0.6036 0.9730
F4 F 0.3964 0.0270 0.7301
F5 F 0.6036 0.9730 0.2699
F6 F 0.7301 0.3964 0.0270
F7 F 0.8465 0.8465 0.8465
F8 F 0.9730 0.2699 0.6036
```


The following is a DFT calculation (PBE-GGA) of crystalline CuO6F2 at its relaxed geometry.

Computed properties:
The space group is P-1 (2). The value obtained for the total energy is -38.553 eV/cell. Its formation energy without anion corrections is -0.107 eV per atom.

Structure (CIF):
```
data_CuO6F2
_symmetry_space_group_name_H-M 'P 1'
_symmetry_Int_Tables_number 1
_cell_length_a 3.0514
_cell_length_b 6.3947
_cell_length_c 6.4584
_cell_angle_alpha 102.34
_cell_angle_beta 91.29
_cell_angle_gamma 91.43
loop_
_symmetry_equiv_pos_as_xyz
'x,y,z'
loop_
_atom_site_label
_atom_site_type_symbol
_atom_site_fract_x
_atom_site_fract_y
_atom_site_fract_z
Cu1 Cu 0.0000 0.0000 0.0000
O1 O 0.0875 0.3358 0.3369
O2 O 0.1021 0.4655 0.6953
O3 O 0.1031 0.6976 0.4666
O4 O 0.8969 0.3024 0.5334
O5 O 0.8979 0.5345 0.3047
O6 O 0.9125 0.6642 0.6631
F1 F 0.4992 0.8770 0.1199
F2 F 0.5008 0.1230 0.8801
```


The following is a DFT calculation (PBE-GGA) of crystalline Cu4OF6 at its relaxed geometry.

Computed properties:
The relative energy among the computed polymorphs comes out at 4 meV per atom. The space group is P1 (1). The value obtained for the total energy is -93.102 eV/cell. Its formation energy without anion corrections is -1.271 eV per atom.

Structure (CIF):
```
data_Cu4OF6
_symmetry_space_group_name_H-M 'P 1'
_symmetry_Int_Tables_number 1
_cell_length_a 5.5289
_cell_length_b 7.2032
_cell_length_c 7.2123
_cell_angle_alpha 116.05
_cell_angle_beta 93.36
_cell_angle_gamma 93.49
loop_
_symmetry_equiv_pos_as_xyz
'x,y,z'
loop_
_atom_site_label
_atom_site_type_symbol
_atom_site_fract_x
_atom_site_fract_y
_atom_site_fract_z
Cu1 Cu 0.0000 0.0000 0.0000
Cu2 Cu 0.0131 0.1211 0.5162
Cu3 Cu 0.0350 0.5224 0.4948
Cu4 Cu 0.0610 0.4662 0.9479
Cu5 Cu 0.4995 0.3150 0.6842
Cu6 Cu 0.5135 0.8321 0.8061
Cu7 Cu 0.5349 0.8100 0.2063
Cu8 Cu 0.5615 0.2641 0.1513
O1 O 0.1691 0.3903 0.6813
O2 O 0.6692 0.9970 0.0752
F1 F 0.1356 0.1801 0.2740
F2 F 0.2150 0.7616 0.0522
F3 F 0.3019 0.0847 0.8974
F4 F 0.3433 0.6753 0.5444
F5 F 0.3968 0.0328 0.4863
F6 F 0.4360 0.5042 0.1516
F7 F 0.6350 0.5893 0.8643
F8 F 0.7152 0.3680 0.4465
F9 F 0.8008 0.2123 0.7684
F10 F 0.8428 0.8591 0.3591
F11 F 0.8974 0.8024 0.7178
F12 F 0.9359 0.4658 0.1878
```